Entry from the Open Quantum Materials Database: a geometry-optimized CoAsPdO structure (GGA+U).

The calculation puts the distance to the lowest polymorph of the same formula at 0.0 meV/atom. The space group is P4/nmm, No. 129. For the density, the calculation gives 5.95 g/cm³. The value obtained for the volume is 17.87 Å³ per atom.

Cell: 4.026 4.026 8.820 Å, 90.00 90.00 90.00°
Sites, in units of the cell vectors:
Co 0.250 0.250 0.021
Co 0.750 0.750 0.979
As 0.250 0.250 0.337
As 0.750 0.750 0.663
Pd 0.250 0.750 0.500
Pd 0.750 0.250 0.500
O 0.250 0.750 0.000
O 0.750 0.250 0.000